Cr2AgTe, relaxed, DFT GGA-PBE; uncorrected formation energy = 517.6 meV per atom; magnetization = 7.99 μB/f.u.; space group = Imm2 (44); density = 7.3 g cm⁻³
1.0
-1.949 2.054 4.828
1.949 -2.054 4.828
1.949 2.054 -4.828
Cr Ag Te
2 1 1
Direct
0.000 0.000 0.000
0.747 0.247 0.500
0.483 0.483 0.000
0.229 0.729 0.500

***

CrAgTe3, relaxed, DFT GGA-PBE; uncorrected formation energy = 1322.4 meV per atom; magnetization = 0.85 μB/f.u.; energy above the most stable polymorph in this dataset = 6.910 eV per formula unit; space group = Pm-3m (221); density = 5.9 g cm⁻³
1.0
5.347 0.000 0.000
0.000 5.347 0.000
0.000 0.000 5.347
Cr Ag Te
1 1 3
Direct
0.000 0.000 0.000
0.500 0.500 0.500
0.000 0.500 0.500
0.500 0.000 0.500
0.500 0.500 0.000

***

Please write out number 1 again, unchanged.
Cr2AgTe, relaxed, DFT GGA-PBE; uncorrected formation energy = 517.6 meV per atom; magnetization = 7.99 μB/f.u.; space group = Imm2 (44); density = 7.3 g cm⁻³
1.0
-1.949 2.054 4.828
1.949 -2.054 4.828
1.949 2.054 -4.828
Cr Ag Te
2 1 1
Direct
0.000 0.000 0.000
0.747 0.247 0.500
0.483 0.483 0.000
0.229 0.729 0.500

***

Question: The lowest magnetization belongs to which entry?
Answer: CrAgTe3

***

Question: Which value of uncorrected formation energy does entry 1 give?
Answer: 517.6 meV per atom